No. 1
Here is a relaxed MnAl2Zn crystal from Alexandria via LeMat-Bulk. Energies are from GGA-PBE.

abc: 3.8868 3.8868 3.7170
angles: 90.00 90.00 90.00
With the nearest neighbours (Å) after each atom.
Positions (direct):
Mn 0.0000 0.0000 0.0000  8 Al 2.69, 4 Zn 2.75
Al 0.0000 0.5000 0.5000  4 Zn 2.69, 4 Mn 2.69, 4 Al 2.75
Al 0.5000 0.0000 0.5000  4 Zn 2.69, 4 Mn 2.69, 4 Al 2.75
Zn 0.5000 0.5000 0.0000  8 Al 2.69, 4 Mn 2.75

DFT formation energy   -0.1468 eV per atom
V   14.04 Å³/atom

No. 2
Here is a relaxed Na7Tl2Au crystal from Alexandria via LeMat-Bulk. Energies are from GGA-PBE.

abc: 8.8600 8.8600 10.8580
angles: 121.45 121.45 60.18
With the nearest neighbours (Å) after each atom.
Positions (direct):
Na 0.1137 0.6082 0.1920  1 Au 2.98, 1 Tl 3.24
Na 0.1197 0.8803 0.7500  2 Tl 3.13, 1 Au 3.22, 2 Na 3.40
Na 0.1760 0.4075 0.4535  1 Au 2.99, 2 Na 3.15-3.26, 1 Tl 3.31
Na 0.2595 0.5708 0.9120  1 Au 3.01, 1 Tl 3.23, 1 Na 3.26
Na 0.3918 0.8863 0.3080  1 Au 2.98, 1 Tl 3.24
Na 0.4075 0.1760 0.9535  1 Au 2.99, 2 Na 3.15-3.26, 1 Tl 3.31
Na 0.4292 0.7405 0.5880  1 Au 3.01, 1 Tl 3.23, 1 Na 3.26
Na 0.5708 0.2595 0.4120  1 Au 3.01, 1 Tl 3.23, 1 Na 3.26
Na 0.5925 0.8240 0.0465  1 Au 2.99, 2 Na 3.15-3.26, 1 Tl 3.31
Na 0.6082 0.1137 0.6920  1 Au 2.98, 1 Tl 3.24
Na 0.7405 0.4292 0.0880  1 Au 3.01, 1 Tl 3.23, 1 Na 3.26
Na 0.8240 0.5925 0.5465  1 Au 2.99, 2 Na 3.15-3.26, 1 Tl 3.31
Na 0.8803 0.1197 0.2500  2 Tl 3.13, 1 Au 3.22, 2 Na 3.40
Na 0.8863 0.3918 0.8080  1 Au 2.98, 1 Tl 3.24
Tl 0.1379 0.1494 0.5921  4 Na 3.13-3.31
Tl 0.1494 0.1379 0.0921  4 Na 3.13-3.31
Tl 0.8506 0.8621 0.9079  4 Na 3.13-3.31
Tl 0.8621 0.8506 0.4079  4 Na 3.13-3.31
Au 0.4822 0.5178 0.7500  7 Na 2.98-3.22
Au 0.5178 0.4822 0.2500  7 Na 2.98-3.22

DFT formation energy   -0.1236 eV per atom
V   29.50 Å³/atom